No. 1
Compound: Cs2Tl10Hg
Source: Alexandria via LeMat-Bulk
Functional: PBE
Structure: relaxed

Results
The value obtained for the formation energy is -3 meV per atom. The value obtained for the energy is -1.978 eV/atom.

Cell lengths 10.9210, 13.5537, 7.3531 Å; angles 90.00, 90.00, 90.00 degrees
Last column: nearest neighbours and their distance in Å.
Positions (direct):
Cs  0.2452  0.0594  0.0000  12 Tl 4.06-4.35
Cs  0.2548  0.5594  0.0000  12 Tl 4.06-4.35
Cs  0.7452  0.4406  0.0000  12 Tl 4.06-4.35
Cs  0.7548  0.9406  0.0000  12 Tl 4.06-4.35
Tl  0.0489  0.1182  0.5000  7 Tl 3.16-3.46
Tl  0.0751  0.3116  0.2324  4 Tl 3.29-3.42, 1 Hg 3.33
Tl  0.0751  0.3116  0.7676  4 Tl 3.29-3.42, 1 Hg 3.33
Tl  0.1732  0.6993  0.5000  5 Tl 3.22-3.46, 1 Hg 3.30
Tl  0.2340  0.9320  0.5000  1 Hg 3.05, 5 Tl 3.16-3.30
Tl  0.2660  0.4320  0.5000  1 Hg 3.05, 5 Tl 3.16-3.30
Tl  0.3268  0.1993  0.5000  5 Tl 3.22-3.46, 1 Hg 3.30
Tl  0.4249  0.8116  0.2324  4 Tl 3.29-3.42, 1 Hg 3.33
Tl  0.4249  0.8116  0.7676  4 Tl 3.29-3.42, 1 Hg 3.33
Tl  0.4511  0.6182  0.5000  7 Tl 3.16-3.46
Tl  0.5489  0.3818  0.5000  7 Tl 3.16-3.46
Tl  0.5751  0.1884  0.2324  4 Tl 3.29-3.42, 1 Hg 3.33
Tl  0.5751  0.1884  0.7676  4 Tl 3.29-3.42, 1 Hg 3.33
Tl  0.6732  0.8007  0.5000  5 Tl 3.22-3.46, 1 Hg 3.30
Tl  0.7340  0.5680  0.5000  1 Hg 3.05, 5 Tl 3.16-3.30
Tl  0.7660  0.0680  0.5000  1 Hg 3.05, 5 Tl 3.16-3.30
Tl  0.8268  0.3007  0.5000  5 Tl 3.22-3.46, 1 Hg 3.30
Tl  0.9249  0.6884  0.2324  4 Tl 3.29-3.42, 1 Hg 3.33
Tl  0.9249  0.6884  0.7676  4 Tl 3.29-3.42, 1 Hg 3.33
Tl  0.9511  0.8818  0.5000  7 Tl 3.16-3.46
Hg  0.0000  0.5000  0.5000  8 Tl 3.05-3.33
Hg  0.5000  0.0000  0.5000  8 Tl 3.05-3.33



No. 2
Compound: LaYOs3
Source: Alexandria via LeMat-Bulk
Functional: PBE
Structure: relaxed

Results
The value obtained for the formation energy is 1834 meV per atom. The value obtained for the energy is -7.182 eV/atom. The calculation puts the excess energy over the best structure of this formula in the dataset at 0 meV/atom.

Cell lengths 4.9410, 4.9410, 4.9410 Å; angles 90.00, 90.00, 90.00 degrees
Last column: nearest neighbours and their distance in Å.
Positions (direct):
La  0.0000  0.0000  0.0000  12 Os 3.49
Y  0.5000  0.5000  0.5000  6 Os 2.47
Os  0.0000  0.5000  0.5000  2 Y 2.47
Os  0.5000  0.0000  0.5000  2 Y 2.47
Os  0.5000  0.5000  0.0000  2 Y 2.47



No. 3
Compound: Pt3BrN
Source: Alexandria via LeMat-Bulk
Functional: PBE
Structure: relaxed

Results
The value obtained for the energy is -4.702 eV/atom. The uncorrected formation energy is 0.922 eV per atom. The calculation puts the excess energy over the best structure of this formula in the dataset at 0 meV/atom.

Cell lengths 4.2980, 4.2980, 4.2980 Å; angles 90.00, 90.00, 90.00 degrees
Last column: nearest neighbours and their distance in Å.
Positions (direct):
Pt  0.0000  0.0000  0.5000  2 N 2.15
Pt  0.0000  0.5000  0.0000  2 N 2.15
Pt  0.5000  0.0000  0.0000  2 N 2.15
Br  0.5000  0.5000  0.5000  12 Pt 3.04
N  0.0000  0.0000  0.0000  6 Pt 2.15



No. 4
Compound: Cs4Hg2As2Pt
Source: Alexandria via LeMat-Bulk
Functional: PBE
Structure: relaxed

Results
The value obtained for the formation energy is -304 meV per atom. The value obtained for the energy is -2.455 eV/atom.

Cell lengths 7.9757, 7.9757, 6.3699 Å; angles 92.29, 92.29, 73.92 degrees
Last column: nearest neighbours and their distance in Å.
Positions (direct):
Cs  0.1286  0.6349  0.6943  1 Pt 3.37
Cs  0.3651  0.8714  0.3057  1 Pt 3.37
Cs  0.6349  0.1286  0.6943  1 Pt 3.37
Cs  0.8714  0.3651  0.3057  1 Pt 3.37
Hg  0.3439  0.3439  0.1491  1 As 3.01
Hg  0.6561  0.6561  0.8509  1 As 3.01
As  0.1618  0.1618  0.8290  1 Pt 2.38
As  0.8382  0.8382  0.1710  1 Pt 2.38
Pt  0.0000  0.0000  0.0000  2 As 2.38